# 1
A geometry-optimized Sm3Cd2Ru3C structure. Source: Alexandria, functional GGA-PBE.

```
9
Lattice="3.426 0.000 0.000 0.000 7.783 0.000 0.000 -3.892 6.740" Properties=species:S:1:pos:R:3 pbc="T T T"
Sm 0.000 -1.330 2.304
Sm 0.000 2.561 4.436
Sm 0.000 2.661 0.000
Cd 1.713 0.000 4.494
Cd 1.713 3.892 2.247
Ru 1.713 6.180 0.000
Ru 1.713 0.802 1.388
Ru 1.713 -3.090 5.352
C 0.000 0.000 0.000
```

## Properties
Crystal system   hexagonal
Formation energy   0.030 eV/atom

# 2
A geometry-optimized Nd4MgGa2 structure. Source: Alexandria, functional GGA-PBE.

```
7
Lattice="-4.009 -1.230 3.121 -1.550 -4.974 0.427 3.443 -3.171 7.550" Properties=species:S:1:pos:R:3 pbc="T T T"
Nd -3.443 -6.644 6.091
Nd 1.327 -2.731 5.007
Nd -2.870 -4.310 3.370
Nd 0.754 -5.065 7.728
Mg 0.000 0.000 0.000
Ga -1.465 -7.056 8.470
Ga -0.651 -2.318 2.628
```

## Properties
Crystal system   trigonal
Formation energy   -0.325 eV/atom

# 3
A geometry-optimized CoNiBr6 structure. Source: Alexandria, functional GGA-PBE.

```
8
Lattice="-3.973 -0.902 -4.986 5.676 -2.421 -2.301 -3.256 -2.941 4.910" Properties=species:S:1:pos:R:3 pbc="T T T"
Co 0.000 0.000 0.000
Ni -0.777 -3.132 -1.188
Br -2.421 -4.725 -0.747
Br 0.109 -4.577 -2.789
Br -1.662 -1.686 0.413
Br 0.868 -1.539 -1.630
Br -2.547 -1.894 -3.292
Br 0.994 -4.370 0.915
```

## Properties
Crystal system   monoclinic
E   -0.225 Ry per atom

# 4
A geometry-optimized Ho6TmSc2 structure. Source: Alexandria, functional GGA-PBE.

```
18
Lattice="-4.211 2.397 2.593 -0.464 -10.986 3.596 5.570 -5.624 8.438" Properties=species:S:1:pos:R:3 pbc="T T T"
Ho 0.053 -7.328 9.570
Ho -0.262 -4.796 7.157
Ho 0.843 -6.884 5.057
Ho 1.157 -9.417 7.470
Ho -1.964 -10.254 9.228
Ho -2.265 -5.443 4.274
Ho 2.859 -3.959 5.399
Ho 3.160 -8.770 10.353
Ho 4.562 -14.394 11.776
Ho -0.560 -0.128 2.358
Ho -3.667 0.181 2.852
Ho 1.456 -14.084 12.270
Tm 3.008 -6.365 7.875
Tm -2.113 -7.847 6.752
Sc 4.263 -11.973 9.469
Sc -0.260 -2.548 4.666
Sc -3.368 -2.240 5.159
Sc 1.155 -11.665 9.962
```

## Properties
Crystal system   monoclinic
Formation energy   0.077 eV/atom

# 5
A geometry-optimized PaSiC structure. Source: Alexandria, functional GGA-PBE.

```
6
Lattice="-1.405 4.042 -2.271 -1.112 -2.360 -3.512 -3.474 0.278 2.645" Properties=species:S:1:pos:R:3 pbc="T T T"
Pa -2.310 -0.404 -1.873
Pa -3.681 2.364 -1.265
Si -0.703 2.021 -1.136
Si 0.000 0.000 0.000
C -3.233 0.627 0.534
C -2.758 1.333 -3.672
```

## Properties
Crystal system   orthorhombic
E   -0.600 Ry per atom

# 6
A geometry-optimized Cr2FeBiC structure. Source: Alexandria, functional GGA-PBE.

```
5
Lattice="-0.377 0.217 4.401 4.285 -2.232 0.477 2.045 3.921 -0.018" Properties=species:S:1:pos:R:3 pbc="T T T"
Cr 1.022 1.960 -0.009
Cr -0.188 0.108 2.200
C 2.976 0.953 2.430
Bi 2.142 -1.116 0.238
Fe 0.000 0.000 0.000
```

## Properties
Crystal system   tetragonal
Formation energy   1.937 eV/atom

# 7
A geometry-optimized AlSe structure. Source: Alexandria, functional GGA-PBE.

```
12
Lattice="7.401 0.000 0.000 0.000 7.401 0.000 0.000 0.000 7.401" Properties=species:S:1:pos:R:3 pbc="T T T"
Al 1.850 0.000 3.701
Al 5.551 0.000 3.701
Al 0.000 3.701 1.850
Al 0.000 3.701 5.551
Al 3.701 1.850 0.000
Al 3.701 5.551 0.000
Se 1.850 3.701 0.000
Se 5.551 3.701 0.000
Se 3.701 0.000 1.850
Se 3.701 0.000 5.551
Se 0.000 1.850 3.701
Se 0.000 5.551 3.701
```

## Properties
Crystal system   cubic
E   -0.275 Ry per atom

# 8
A geometry-optimized CeTi2H4 structure. Source: Alexandria, functional GGA-PBE.

```
14
Lattice="-4.776 -0.923 3.509 3.626 -1.487 4.541 0.697 5.263 -2.797" Properties=species:S:1:pos:R:3 pbc="T T T"
Ce 1.872 1.286 2.884
Ce -4.078 4.340 0.713
Ti -1.103 2.813 1.798
Ti 0.362 -0.562 5.468
Ti -1.451 0.182 3.197
Ti 1.285 3.275 0.044
H -3.281 0.598 2.813
H 0.378 -0.235 3.581
H -1.598 2.068 3.492
H -3.009 2.647 1.723
H -1.421 0.958 1.446
H -0.608 3.558 0.105
H 0.804 2.979 1.873
H -1.481 -0.595 4.947
```

## Properties
Crystal system   cubic
E   -0.400 Ry per atom

# 9
A geometry-optimized ZnMoP2 structure. Source: Alexandria, functional GGA-PBE.

```
4
Lattice="-0.421 -1.812 4.223 2.451 -3.904 -0.220 0.858 4.492 -0.619" Properties=species:S:1:pos:R:3 pbc="T T T"
Mo 2.162 -1.135 0.581
P 1.996 -5.618 3.935
P 1.050 -2.955 2.070
Zn 0.726 -0.089 2.803
```

## Properties
Crystal system   orthorhombic
Formation energy   0.089 eV/atom

# 10
A geometry-optimized AcFe2Si2C structure. Source: Alexandria, functional GGA-PBE.

```
6
Lattice="3.791 0.000 0.000 0.000 3.791 0.000 0.000 0.000 6.479" Properties=species:S:1:pos:R:3 pbc="T T T"
Ac 0.000 0.000 3.239
Fe 1.895 0.000 0.000
Fe 0.000 1.895 0.000
Si 1.895 1.895 5.016
Si 1.895 1.895 1.462
C 0.000 0.000 0.000
```

## Properties
Crystal system   tetragonal
E   -0.518 Ry per atom

no.,D(E_F) (states/eV per cell)
1,5.85
2,5.87
3,9.30
4,32.32
5,1.96
6,4.31
7,15.69
8,15.41
9,1.86
10,4.36